Entry from Alexandria: a relaxed structure of ErTiMoO6 (PBE+U).

Cell: 5.2999 5.2999 8.7238 Å, 90.00 90.00 120.00°
Atoms (fractional coordinates):
O  0.3401  0.0396  0.1239
O  0.6995  0.0396  0.3761
O  0.3401  0.3005  0.3761
O  0.3005  0.3401  0.8761
O  0.6599  0.6995  0.6239
O  0.6995  0.6599  0.1239
O  0.6599  0.9604  0.8761
O  0.3005  0.9604  0.6239
O  0.0396  0.6995  0.8761
O  0.9604  0.3005  0.1239
O  0.9604  0.6599  0.3761
O  0.0396  0.3401  0.6239
Mo  0.0000  0.0000  0.5000
Mo  0.0000  0.0000  0.0000
Er  0.6667  0.3333  0.7500
Er  0.3333  0.6667  0.2500
Ti  0.3333  0.6667  0.7500
Ti  0.6667  0.3333  0.2500

* SG: P-31c (163)
* calculated total energy: -7.994 eV per atom
* spin magnetization: 0.1112 μB per atom
* calculated density: 6370 kg/m3